First-principles (PBE-GGA) data for a relaxed La4Ho2H crystal, as listed in Alexandria.

Lattice parameters (Å, degrees): 9.444 9.444 9.444 148.98 148.98 44.44
Fractional positions:
1 La 0.000 0.500 0.500
2 La 0.158 0.158 0.000
3 La 0.500 0.000 0.500
4 La 0.842 0.842 0.000
5 Ho 0.362 0.362 0.000
6 Ho 0.638 0.638 0.000
7 H 0.000 0.000 0.000

Summary:
- calculated total energy (eV/cell) = -31.683
- magnetic moment (μB per cell) = 0.000